Density functional theory data (PBE) for a relaxed structure of TmMg2Nb.

Computed properties:
energy of formation = 475 meV/atom
V = 92.1 Å³/cell

a b c (Å): 3.031 3.031 11.706
angles (deg): 82.56 82.56 60.00
Fractional positions:
Mg: 0.083 0.083 0.750
Mg: 0.917 0.917 0.250
Tm: 0.500 0.500 0.500
Nb: 0.000 0.000 0.000



Density functional theory data (PBE) for a relaxed structure of Tm2MgNb.

Computed properties:
energy of formation = 494 meV/atom
V = 100.1 Å³/cell
ΔE to the lowest computed polymorph = 382 meV per atom

a b c (Å): 3.155 3.155 11.753
angles (deg): 82.29 82.29 60.00
Each line ends with the local moment (μB).
Fractional positions:
Tm: 0.084 0.084 0.748  0.07
Tm: 0.916 0.916 0.252  0.07
Nb: 0.000 0.000 0.000  0.41
Mg: 0.500 0.500 0.500  0.00



| no. | DOS at the Fermi energy (states/eV per atom) |
| --- | --- |
| 1 | 1.108 |
| 2 | 1.311 |